(1)
An optimized crystal structure of As3IBr, computed with PBE.

Geometry as POSCAR:
```
As3IBr
1.0
-0.6800 -1.7331 4.8693
2.1579 -4.5580 -1.3210
4.6966 1.8433 1.3119
Br As I
1 3 1
Direct
0.0000 0.0000 0.0000
0.0000 0.5000 0.0000
0.0000 0.0000 0.5000
0.5000 0.0000 0.0000
0.5000 0.5000 0.5000
```

Computed properties:
* relative energy among the computed polymorphs: 0 meV per atom
* formation energy from raw total energies: 1201 meV per atom

=====

(2)
An optimized crystal structure of Li2LaPPb, computed with PBE.

Geometry as POSCAR:
```
Li2LaPPb
1.0
-1.4027 -2.5384 3.8538
-1.9678 -3.3143 -2.8993
4.9628 -2.8720 -0.0853
P Li Pb La
1 2 1 1
Direct
0.0000 0.0000 0.0000
0.5000 0.0000 0.0000
0.0000 0.5000 0.0000
0.5000 0.5000 0.5000
0.0000 0.0000 0.5000
```

Computed properties:
* formation energy: -0.531 eV/atom

=====

(3)
An optimized crystal structure of CrIr2W, computed with PBE.

Geometry as POSCAR:
```
CrIr2W
1.0
-3.1617 6.6057 -5.0850
-5.2687 6.3738 -3.3324
-3.0944 7.9232 -2.6716
Ir W Cr
2 1 1
Direct
0.4960 0.4960 0.4960
0.0040 0.0040 0.0040
0.2500 0.2500 0.2500
0.7500 0.7500 0.7500
```

Computed properties:
* relative energy among the computed polymorphs: 201 meV per atom
* formation energy: -0.040 eV/atom

=====

(4)
An optimized crystal structure of CsK2Rb5O, computed with PBE.

Geometry as POSCAR:
```
CsK2Rb5O
1.0
9.2156 0.7437 1.0792
-3.7212 8.4636 -1.0792
-3.7212 -4.0223 7.5245
K Rb O Cs
2 5 1 1
Direct
0.5000 0.2525 0.7525
0.5000 0.7525 0.2525
0.6226 0.8130 0.8130
0.0000 0.2597 0.2597
0.0000 0.8130 0.1903
0.0000 0.1903 0.8130
0.3774 0.1903 0.1903
0.0000 0.9972 0.9972
0.0000 0.7316 0.7316
```

Computed properties:
* formation energy from raw total energies: -323 meV per atom

=====

(5)
An optimized crystal structure of BeNb2P, computed with PBE.

Geometry as POSCAR:
```
BeNb2P
1.0
0.0000 3.0588 3.0588
3.0588 0.0000 3.0588
3.0588 3.0588 0.0000
Be P Nb
1 1 2
Direct
0.0000 0.0000 0.0000
0.5000 0.5000 0.5000
0.7500 0.7500 0.7500
0.2500 0.2500 0.2500
```

Computed properties:
* relative energy among the computed polymorphs: 614 meV per atom
* formation energy: -0.135 eV/atom

=====

(6)
An optimized crystal structure of AcZr2F11, computed with PBE.

Geometry as POSCAR:
```
AcZr2F11
1.0
7.0455 0.0000 3.6724
3.1598 7.7143 2.5325
-0.0612 0.0533 8.7122
F Zr Ac
22 4 2
Direct
0.8696 0.7804 0.2196
0.1346 0.0468 0.2037
0.9711 0.8205 0.4444
0.6346 0.7037 0.5468
0.5289 0.0556 0.6795
0.6148 0.2037 0.0468
0.3852 0.7963 0.9532
0.7640 0.4444 0.8205
0.3654 0.2963 0.4532
0.1304 0.2196 0.7804
0.0289 0.1795 0.5556
0.2640 0.3205 0.9444
0.3696 0.7196 0.2804
0.8654 0.9532 0.7963
0.5000 0.5000 0.5000
0.7360 0.6795 0.0556
0.2360 0.5556 0.1795
0.0000 0.0000 0.0000
0.8852 0.4532 0.2963
0.6304 0.2804 0.7196
0.1148 0.5468 0.7037
0.4711 0.9444 0.3205
0.1305 0.8196 0.1804
0.3695 0.3196 0.6804
0.6305 0.6804 0.3196
0.8695 0.1804 0.8196
0.7500 0.7500 0.7500
0.2500 0.2500 0.2500
```

Computed properties:
* formation energy from raw total energies: -3858 meV per atom

=====

(7)
An optimized crystal structure of ZnCu6Au2, computed with PBE.

Geometry as POSCAR:
```
ZnCu6Au2
1.0
-5.4124 -0.2036 2.1806
-0.2376 -2.0917 8.7991
1.7006 4.3826 3.4630
Cu Zn Au
12 2 4
Direct
0.1833 0.9288 0.9125
0.9125 0.4288 0.1833
0.5196 0.9250 0.2406
0.7594 0.5750 0.4804
0.4804 0.0750 0.7594
0.4177 0.5719 0.1466
0.8167 0.0712 0.0875
0.8534 0.9281 0.5823
0.2406 0.4250 0.5196
0.5823 0.4281 0.8534
0.0875 0.5712 0.8167
0.1466 0.0719 0.4177
0.0928 0.2500 0.9072
0.9072 0.7500 0.0928
0.5784 0.7528 0.7679
0.7679 0.2528 0.5784
0.2321 0.7472 0.4216
0.4216 0.2472 0.2321
```

Computed properties:
* relative energy among the computed polymorphs: 0 meV per atom
* formation energy: -0.008 eV/atom

=====

(8)
An optimized crystal structure of Pm3GeBr3, computed with PBE.

Geometry as POSCAR:
```
Pm3GeBr3
1.0
9.7727 0.0000 -3.4552
-4.8863 8.4634 -3.4552
0.0000 0.0000 10.3655
Br Pm Ge
12 12 4
Direct
0.0043 0.2500 0.9957
0.7500 0.7543 0.7457
0.7500 0.9957 0.5043
0.2457 0.9957 0.9913
0.4957 0.5043 0.2500
0.4957 0.9913 0.7457
0.2543 0.5087 0.5043
0.0043 0.7543 0.5087
0.2457 0.2500 0.7543
0.0087 0.5043 0.7543
0.2543 0.7457 0.2500
0.4913 0.7457 0.9957
0.5205 0.2602 0.0102
0.5102 0.4898 0.7500
0.7398 0.4795 0.4898
0.9898 0.2398 0.4795
0.9898 0.7500 0.0102
0.7602 0.7500 0.2398
0.2500 0.0102 0.4898
0.9795 0.4898 0.2398
0.5102 0.0205 0.2602
0.7602 0.0102 0.0205
0.7398 0.2602 0.7500
0.2500 0.2398 0.2602
0.7500 0.5000 0.0000
0.0000 0.0000 0.2500
0.5000 0.2500 0.5000
0.7500 0.2500 0.2500
```

Computed properties:
* relative energy among the computed polymorphs: 0 meV per atom
* formation energy from raw total energies: -1459 meV per atom

=====

(9)
An optimized crystal structure of BaIrSCl2, computed with PBE.

Geometry as POSCAR:
```
BaIrSCl2
1.0
5.0693 0.0000 0.0000
0.0000 5.0693 0.0000
0.0000 0.0000 4.6415
S Cl Ir Ba
1 2 1 1
Direct
0.0000 0.0000 0.5000
0.5000 0.0000 0.0000
0.0000 0.5000 0.0000
0.0000 0.0000 0.0000
0.5000 0.5000 0.5000
```

Computed properties:
* relative energy among the computed polymorphs: 0 meV per atom
* formation energy from raw total energies: -956 meV per atom

=====

(10)
An optimized crystal structure of Eu2PuHg, computed with PBE.

Geometry as POSCAR:
```
Eu2PuHg
1.0
-0.2301 2.5945 -2.4547
-3.0247 0.4383 -1.8625
-5.1346 8.5529 6.9122
Hg Pu Eu
1 1 2
Direct
0.5000 0.5000 0.5000
0.0000 0.0000 0.0000
0.9053 0.9053 0.2840
0.0947 0.0947 0.7160
```

Computed properties:
* relative energy among the computed polymorphs: 269 meV per atom
* formation energy: 0.164 eV/atom

=====

(11)
An optimized crystal structure of Sr2CuAg, computed with PBE.

Geometry as POSCAR:
```
Sr2CuAg
1.0
4.5717 0.0000 0.0000
0.0000 6.3321 -0.0287
0.0000 -3.1968 8.4583
Cu Sr Ag
2 4 2
Direct
0.7500 0.6242 0.7817
0.2500 0.3758 0.2183
0.2500 0.7785 0.5731
0.2500 0.7818 0.0671
0.7500 0.2182 0.9329
0.7500 0.2215 0.4269
0.7500 0.6300 0.2816
0.2500 0.3700 0.7184
```

Computed properties:
* formation energy: -0.189 eV/atom

=====

(12)
An optimized crystal structure of Sc2TiAg2, computed with PBE.

Geometry as POSCAR:
```
Sc2TiAg2
1.0
7.9346 0.0000 0.0000
0.0000 7.9346 0.0000
0.0000 0.0000 3.2667
Sc Ti Ag
4 2 4
Direct
0.1703 0.6703 0.5000
0.6703 0.8297 0.5000
0.3297 0.1703 0.5000
0.8297 0.3297 0.5000
0.5000 0.5000 0.0000
0.0000 0.0000 0.0000
0.3721 0.8721 0.0000
0.8721 0.6279 0.0000
0.6279 0.1279 0.0000
0.1279 0.3721 0.0000
```

Computed properties:
* relative energy among the computed polymorphs: 0 meV per atom
* formation energy: -0.007 eV/atom

=====

(13)
An optimized crystal structure of Pm3TcSb, computed with PBE.

Geometry as POSCAR:
```
Pm3TcSb
1.0
-5.2313 -0.5183 -1.0186
-0.8902 -1.1448 5.1546
-0.7167 5.2051 1.0322
Sb Tc Pm
1 1 3
Direct
0.5000 0.5000 0.5000
0.0000 0.0000 0.0000
0.0000 0.5000 0.0000
0.5000 0.0000 0.0000
0.0000 0.0000 0.5000
```

Computed properties:
* formation energy from raw total energies: -127 meV per atom

=====

The records above yield DFT total energy values of -2.23; -4.11; -10.11; -1.75; -7.45; -6.84; -3.61; -4.87; -4.68; -8.63; -2.77; -5.26; -5.88 eV/atom, respectively.
The records above yield mass density values of 5.06; 4.87; 17.92; 1.75; 6.55; 4.32; 11.16; 5.79; 6.02; 9.37; 4.71; 5.71; 7.08 g/cm³, respectively.